Entry 1:
## Sm8GeP3S4 (PBE)

Data for Sm8GeP3S4 after structural relaxation.

abc: 8.1780 8.1701 8.1784
angles: 120.03 120.00 90.00
Sites, in units of the cell vectors:
Sm 0.2495 0.7452 0.9957
Sm 0.2495 0.7451 0.4989
Sm 0.2527 0.2581 0.5055
Sm 0.7463 0.7452 0.9957
Sm 0.2537 0.2548 0.0043
Sm 0.7473 0.7419 0.4945
Sm 0.7505 0.2549 0.5011
Sm 0.7505 0.2548 0.0043
Ge 0.0000 0.5000 0.0000
P 0.5000 0.5000 0.0000
P 0.5000 0.5000 0.5000
P 0.0000 0.5000 0.5000
S 0.5000 0.0000 0.0000
S 0.5000 0.0000 0.5000
S 0.0000 0.0000 0.0000
S 0.0000 0.0000 0.5000

Summary:
Raw formation energy, meV per atom: -1767
Total magnetic moment, μB/f.u.: 0.0
ρ, kg/m³: 6435

Entry 2:
## MnSnRh2 (PBE)

Data for MnSnRh2 after structural relaxation.

abc: 3.2159 3.2159 6.0685
angles: 90.00 90.00 90.00
Sites, in units of the cell vectors:
Mn 0.5000 0.5000 0.5000
Rh 0.0000 0.0000 0.7452
Rh 0.0000 0.0000 0.2548
Sn 0.5000 0.5000 0.0000

Summary:
Formation energy, eV/f.u.: -1.303
Total magnetic moment, μB/f.u.: 4.6
ρ, kg/m³: 10040

Entry 3:
## ReTcSb2 (PBE)

Data for ReTcSb2 after structural relaxation.

abc: 4.6196 4.6196 3.2733
angles: 90.00 90.00 90.00
Sites, in units of the cell vectors:
Re 0.0000 0.5000 0.5000
Sb 0.0000 0.0000 0.0000
Sb 0.5000 0.5000 0.0000
Tc 0.5000 0.0000 0.5000

Summary:
Offset from the most stable computed form, meV per atom: 213
Raw formation energy, meV per atom: 353
Total magnetic moment, μB/f.u.: 0.0
ρ, kg/m³: 12545

Entry 4:
## Ca2Co2Sb (PBE)

Data for Ca2Co2Sb after structural relaxation.

abc: 6.7748 6.7748 4.5430
angles: 90.00 90.00 90.00
Sites, in units of the cell vectors:
Sb 0.0000 0.0000 0.0000
Sb 0.5000 0.5000 0.0000
Ca 0.1774 0.6774 0.5000
Ca 0.6774 0.8226 0.5000
Ca 0.8226 0.3226 0.5000
Ca 0.3226 0.1774 0.5000
Co 0.3819 0.8819 0.0000
Co 0.8819 0.6181 0.0000
Co 0.6181 0.1181 0.0000
Co 0.1181 0.3819 0.0000

Summary:
Raw formation energy, meV per atom: -140
Total magnetic moment, μB/f.u.: 2.1
ρ, kg/m³: 5093

Entry 5:
## Ru2PbW (PBE)

Data for Ru2PbW after structural relaxation.

abc: 3.4689 4.3826 4.3826
angles: 90.00 90.00 90.00
Sites, in units of the cell vectors:
Pb 0.5000 0.0000 0.5000
Ru 0.0000 0.0000 0.0000
Ru 0.0000 0.5000 0.5000
W 0.5000 0.5000 0.0000

Summary:
Formation energy, eV/f.u.: 2.457
Total magnetic moment, μB/f.u.: 0.0
ρ, kg/m³: 14784

Entry 6:
## SmInCu (PBE)

Data for SmInCu after structural relaxation.

abc: 4.0168 7.5989 13.2643
angles: 90.00 90.00 90.00
Sites, in units of the cell vectors:
Sm 0.0000 0.2372 0.9556
Sm 0.0000 0.7628 0.0444
Sm 0.0000 0.2372 0.5444
Sm 0.0000 0.7628 0.4556
Sm 0.0000 0.1424 0.2500
Sm 0.0000 0.8576 0.7500
Cu 0.5000 0.0526 0.0900
Cu 0.5000 0.9474 0.9100
Cu 0.5000 0.0526 0.4100
Cu 0.5000 0.9474 0.5900
Cu 0.0000 0.5541 0.2500
Cu 0.0000 0.4459 0.7500
In 0.5000 0.4268 0.1238
In 0.5000 0.5732 0.8762
In 0.5000 0.4268 0.3762
In 0.5000 0.5732 0.6238
In 0.5000 0.8010 0.2500
In 0.5000 0.1990 0.7500

Summary:
Formation energy, eV/f.u.: -1.147
Total magnetic moment, μB/f.u.: 0.0
ρ, kg/m³: 8089

Entry 7:
## Cu5P4 (PBE)

Data for Cu5P4 after structural relaxation.

abc: 6.0475 6.0475 6.0475
angles: 95.43 95.43 144.16
Sites, in units of the cell vectors:
Cu 0.0000 0.0000 0.0000
Cu 0.3332 0.6668 0.0000
Cu 0.6668 0.3332 0.0000
Cu 0.6668 0.6668 0.3337
Cu 0.3332 0.3332 0.6663
P 0.2885 0.0000 0.2885
P 0.7115 0.0000 0.7115
P 0.0000 0.7115 0.7115
P 0.0000 0.2885 0.2885

Summary:
Formation energy, eV/f.u.: 1.702
Offset from the most stable computed form, meV per atom: 0
Total magnetic moment, μB/f.u.: 0.0
ρ, kg/m³: 5951

Entry 8:
## ErTlB2O6 (PBE)

Data for ErTlB2O6 after structural relaxation.

abc: 6.3719 6.3719 6.5373
angles: 99.65 99.65 104.77
Sites, in units of the cell vectors:
Er 0.5790 0.4210 0.2500
Er 0.4210 0.5790 0.7500
Tl 0.0893 0.9107 0.2500
Tl 0.9107 0.0893 0.7500
B 0.4173 0.0934 0.7526
B 0.9066 0.5827 0.7474
B 0.5827 0.9066 0.2474
B 0.0934 0.4173 0.2526
O 0.9448 0.5431 0.2425
O 0.4569 0.0552 0.2575
O 0.0552 0.4569 0.7575
O 0.5431 0.9448 0.7425
O 0.0380 0.2103 0.1155
O 0.7897 0.9620 0.3845
O 0.9620 0.7897 0.8845
O 0.2103 0.0380 0.6155
O 0.2954 0.4890 0.3958
O 0.5110 0.7046 0.1042
O 0.7046 0.5110 0.6042
O 0.4890 0.2954 0.8958

Summary:
Raw formation energy, meV per atom: -2310
Total magnetic moment, μB/f.u.: 0.0
ρ, kg/m³: 6584

Entry 9:
## YEr2S4 (PBE)

Data for YEr2S4 after structural relaxation.

abc: 7.8270 7.7512 7.7512
angles: 60.46 59.68 59.68
Sites, in units of the cell vectors:
Y 0.5000 0.5000 0.0000
Y 0.0000 0.5000 0.0000
Er 0.0000 0.0000 0.0000
Er 0.0000 0.0000 0.5000
Er 0.0000 0.5000 0.5000
Er 0.5000 0.0000 0.5000
S 0.2514 0.2459 0.2514
S 0.7486 0.2486 0.2541
S 0.2514 0.7514 0.7459
S 0.7486 0.7541 0.7486
S 0.7583 0.7514 0.2514
S 0.7610 0.2486 0.7486
S 0.2390 0.7514 0.2514
S 0.2417 0.2486 0.7486

Summary:
Offset from the most stable computed form, meV per atom: 0
Raw formation energy, meV per atom: -2075
Total magnetic moment, μB/f.u.: 0.0
ρ, kg/m³: 5518

Entry 10:
## Ag4Hg (PBE)

Data for Ag4Hg after structural relaxation.

abc: 6.4819 5.2614 6.0261
angles: 81.90 90.00 90.00
Sites, in units of the cell vectors:
Ag 0.2188 0.3547 0.2344
Ag 0.7188 0.6453 0.2656
Ag 0.7812 0.6453 0.7656
Ag 0.2812 0.3547 0.7344
Ag 0.8920 0.2232 0.5448
Ag 0.3920 0.7768 0.9552
Ag 0.1080 0.7768 0.4552
Ag 0.6080 0.2232 0.0448
Hg 0.0000 0.0000 0.0000
Hg 0.5000 0.0000 0.5000

Summary:
Formation energy, eV/f.u.: 0.746
Offset from the most stable computed form, meV per atom: 116
Total magnetic moment, μB/f.u.: 0.0
ρ, kg/m³: 10317

Entry 11:
## CaLaSm2 (PBE)

Data for CaLaSm2 after structural relaxation.

abc: 3.6987 3.6987 12.3887
angles: 81.42 81.42 60.00
Sites, in units of the cell vectors:
Ca 0.5006 0.5006 0.4981
La 0.6662 0.6662 0.0014
Sm 0.0804 0.0804 0.7589
Sm 0.2528 0.2528 0.2415

Summary:
Formation energy, eV/f.u.: 0.187
Offset from the most stable computed form, meV per atom: 0
Total magnetic moment, μB/f.u.: 0.0
ρ, kg/m³: 5510

Entry 12:
## BeRh2Se (PBE)

Data for BeRh2Se after structural relaxation.

abc: 2.8075 2.8075 8.1947
angles: 90.00 90.00 117.70
Sites, in units of the cell vectors:
Be 0.5000 0.5000 0.7678
Rh 0.0000 0.0000 0.9670
Rh 0.5000 0.5000 0.2541
Se 0.0000 0.0000 0.5110

Summary:
Offset from the most stable computed form, meV per atom: 447
Raw formation energy, meV per atom: 243
Total magnetic moment, μB/f.u.: 0.0
ρ, kg/m³: 8530

The lowest ρ belongs to which entry? Ca2Co2Sb